ScAuN2 after structural relaxation. Source: Alexandria, functional GGA-PBE.

The calculation puts the total energy at -6.457 eV per atom. The calculation puts the total magnetic moment at 0.00 μB per formula unit. For the uncorrected formation energy, the calculation gives 0.108 eV per atom. Its crystal system is tetragonal. Its space group is I-42d. The relative energy among the computed polymorphs is 0.172 eV per atom.

a = 4.745 Å, b = 4.745 Å, c = 6.247 Å
α = 67.68°, β = 67.68°, γ = 90.00°
Element x y z (fractional)
Sc1 0.500 0.500 0.000
Sc2 0.250 0.750 0.500
Au1 0.000 0.000 0.000
Au2 0.750 0.250 0.500
N1 0.615 0.125 0.250
N2 0.135 0.625 0.250
N3 0.375 0.385 0.750
N4 0.875 0.865 0.750